# 1
{"formula": "SrNiAu3", "functional": "GGA-PBE", "state": "relaxed", "polymorph_energy_ev_per_atom": 0.000, "e_form_ev_per_atom": -0.239, "lattice_angstrom": [[-4.274, -0.108, -2.405], [0.392, -4.866, -0.480], [-2.375, -0.610, 4.248]], "species": ["Sr", "Au", "Au", "Au", "Ni"], "frac_coords": [[0.500, 0.500, 0.500], [0.000, 0.500, 0.000], [0.000, 0.000, 0.500], [0.500, 0.000, 0.000], [0.000, 0.000, 0.000]]}

***

# 2
{"formula": "TaSbBr2", "functional": "GGA-PBE", "state": "relaxed", "polymorph_energy_ev_per_atom": 1.097, "lattice_angstrom": [[-1.805, 0.846, 5.199], [-4.197, -1.436, -3.365], [0.504, -3.045, 0.671]], "species": ["Sb", "Br", "Br", "Ta"], "frac_coords": [[0.500, 0.000, 0.500], [0.000, 0.000, 0.000], [0.500, 0.500, 0.000], [0.000, 0.500, 0.500]]}

***

# 3
{"formula": "PrHoZnGe", "functional": "GGA-PBE", "state": "relaxed", "polymorph_energy_ev_per_atom": 0.077, "e_form_ev_per_atom": -0.508, "lattice_angstrom": [[-4.478, 1.838, 1.666], [-4.335, -1.233, -2.427], [-3.381, -3.130, 2.230]], "species": ["Pr", "Zn", "Ge", "Ho"], "frac_coords": [[0.250, 0.250, 0.250], [0.500, 0.500, 0.500], [0.000, 0.000, 0.000], [0.750, 0.750, 0.750]]}

***

# 4
{"formula": "BaLiO2F", "functional": "GGA-PBE", "state": "relaxed", "energy_ev_per_cell": -21.91, "lattice_angstrom": [[-1.571, 3.696, -2.125], [-2.207, -2.642, -2.965], [-4.084, 0.008, 3.032]], "species": ["Li", "Ba", "O", "O", "F"], "frac_coords": [[0.500, 0.500, 0.500], [0.000, 0.000, 0.000], [0.000, 0.500, 0.000], [0.500, 0.000, 0.000], [0.000, 0.000, 0.500]]}

***

# 5
{"formula": "LiTlTe2I", "functional": "GGA-PBE", "state": "relaxed", "polymorph_energy_ev_per_atom": 0.000, "lattice_angstrom": [[-3.717, 0.081, 3.374], [2.353, -3.536, 2.677], [3.358, 4.945, 3.580]], "species": ["I", "Tl", "Te", "Te", "Li"], "frac_coords": [[0.000, 0.000, 0.500], [0.500, 0.500, 0.500], [0.000, 0.500, 0.000], [0.500, 0.000, 0.000], [0.000, 0.000, 0.000]]}

***

# 6
{"formula": "NiAs2RuBr", "functional": "GGA-PBE", "state": "relaxed", "polymorph_energy_ev_per_atom": 0.090, "lattice_angstrom": [[4.537, 0.000, 0.000], [0.000, 4.537, 0.000], [0.000, 0.000, 4.887]], "species": ["Ru", "As", "As", "Br", "Ni"], "frac_coords": [[0.500, 0.500, 0.500], [0.000, 0.500, 0.000], [0.500, 0.000, 0.000], [0.000, 0.000, 0.500], [0.000, 0.000, 0.000]]}